! PBE KBiPt2Pb, relaxed; values from VASP
! formation enthalpy at 0 K: 569.9 meV per atom
&SYSTEM
  ibrav = 0, nat = 5, ntyp = 4
/
ATOMIC_SPECIES
K 39.10 K.upf
Bi 208.98 Bi.upf
Pt 195.08 Pt.upf
Pb 207.20 Pb.upf
ATOMIC_POSITIONS crystal
K 0.0000 0.0000 0.0000
Bi 0.0000 0.0000 0.5000
Pt 0.0000 0.5000 0.5000
Pt 0.5000 0.0000 0.5000
Pb 0.5000 0.5000 0.0000
CELL_PARAMETERS angstrom
5.1812 0.0000 0.0000
0.0000 5.1812 0.0000
0.0000 0.0000 5.9411


! PBE K2BiPt4Pb3, relaxed; values from VASP
! formation enthalpy at 0 K: -252.8 meV per atom
&SYSTEM
  ibrav = 0, nat = 10, ntyp = 4
/
ATOMIC_SPECIES
K 39.10 K.upf
Bi 208.98 Bi.upf
Pt 195.08 Pt.upf
Pb 207.20 Pb.upf
ATOMIC_POSITIONS crystal
K 0.0000 0.5000 0.2378
K 0.5000 0.0000 0.7622
Bi 0.0000 0.0000 0.5000
Pt 0.0000 0.0000 0.0000
Pt 0.0000 0.5000 0.6234
Pt 0.5000 0.0000 0.3766
Pt 0.5000 0.5000 0.0000
Pb 0.0000 0.5000 0.8798
Pb 0.5000 0.0000 0.1202
Pb 0.5000 0.5000 0.5000
CELL_PARAMETERS angstrom
4.9502 0.0000 0.0000
0.0000 4.9502 0.0000
0.0000 0.0000 10.8643


! PBE K2RbBi2Pb, relaxed; values from VASP
! formation enthalpy at 0 K: -295.9 meV per atom
&SYSTEM
  ibrav = 0, nat = 12, ntyp = 4
/
ATOMIC_SPECIES
K 39.10 K.upf
Rb 85.47 Rb.upf
Bi 208.98 Bi.upf
Pb 207.20 Pb.upf
ATOMIC_POSITIONS crystal
K 0.0000 0.0837 0.0000
K 0.0000 0.9163 0.5000
K 0.5000 0.1717 0.3254
K 0.5000 0.8283 0.8254
Rb 0.5000 0.4523 0.9966
Rb 0.5000 0.5477 0.4966
Bi 0.0000 0.3808 0.2854
Bi 0.0000 0.6192 0.7854
Bi 0.5000 0.1759 0.7184
Bi 0.5000 0.8241 0.2184
Pb 0.0000 0.3226 0.6448
Pb 0.0000 0.6774 0.1448
CELL_PARAMETERS angstrom
5.6975 0.0000 0.0000
0.0000 9.9625 0.0000
0.0000 0.0000 8.8766


! PBE KRbBiPb, relaxed; values from VASP
! formation enthalpy at 0 K: -177.1 meV per atom
&SYSTEM
  ibrav = 0, nat = 4, ntyp = 4
/
ATOMIC_SPECIES
K 39.10 K.upf
Rb 85.47 Rb.upf
Bi 208.98 Bi.upf
Pb 207.20 Pb.upf
ATOMIC_POSITIONS crystal
K 0.0000 0.0000 0.0000
Rb 0.2500 0.2500 0.2500
Bi 0.7500 0.7500 0.7500
Pb 0.5000 0.5000 0.5000
CELL_PARAMETERS angstrom
0.0000 4.2549 4.2549
4.2549 0.0000 4.2549
4.2549 4.2549 0.0000


! PBE KBiRhPb, relaxed; values from VASP
! formation enthalpy at 0 K: -165.0 meV per atom
&SYSTEM
  ibrav = 0, nat = 4, ntyp = 4
/
ATOMIC_SPECIES
K 39.10 K.upf
Bi 208.98 Bi.upf
Rh 102.91 Rh.upf
Pb 207.20 Pb.upf
ATOMIC_POSITIONS crystal
K 0.0000 0.0000 0.0000
Bi 0.4489 0.4489 0.4489
Rh 0.8192 0.8192 0.8192
Pb 0.2144 0.2144 0.2144
CELL_PARAMETERS angstrom
2.2574 1.3033 7.0634
-2.2574 1.3033 7.0634
0.0000 -2.6066 7.0634


! PBE K2BiRh2Pb2, relaxed; values from VASP
! formation enthalpy at 0 K: 16.2 meV per atom
&SYSTEM
  ibrav = 0, nat = 7, ntyp = 4
/
ATOMIC_SPECIES
K 39.10 K.upf
Bi 208.98 Bi.upf
Rh 102.91 Rh.upf
Pb 207.20 Pb.upf
ATOMIC_POSITIONS crystal
K 0.1883 0.1883 0.0000
K 0.8117 0.8117 0.0000
Bi 0.0000 0.0000 0.0000
Rh 0.0000 0.5000 0.5000
Rh 0.5000 0.0000 0.5000
Pb 0.4084 0.4084 0.0000
Pb 0.5916 0.5916 0.0000
CELL_PARAMETERS angstrom
-2.5556 2.5556 8.8457
2.5556 -2.5556 8.8457
2.5556 2.5556 -8.8457


! PBE KBiPbS3, relaxed; values from VASP
! formation energy without anion corrections: -60 kJ per mole of atoms
&SYSTEM
  ibrav = 0, nat = 12, ntyp = 4
/
ATOMIC_SPECIES
K 39.10 K.upf
Bi 208.98 Bi.upf
Pb 207.20 Pb.upf
S 32.06 S.upf
ATOMIC_POSITIONS crystal
K 0.1430 0.2500 0.1427
K 0.8570 0.7500 0.8573
Bi 0.3749 0.7500 0.8675
Bi 0.6251 0.2500 0.1325
Pb 0.1581 0.2500 0.6086
Pb 0.8419 0.7500 0.3914
S 0.1352 0.2500 0.8439
S 0.3597 0.7500 0.6231
S 0.4058 0.7500 0.1173
S 0.5942 0.2500 0.8827
S 0.6403 0.2500 0.3769
S 0.8648 0.7500 0.1561
CELL_PARAMETERS angstrom
8.7268 0.0000 0.0000
0.0000 4.1200 0.0000
-1.5876 0.0000 11.4691


! PBE K2BiPbS4, relaxed; values from VASP
! formation energy without anion corrections: -67 kJ per mole of atoms
&SYSTEM
  ibrav = 0, nat = 16, ntyp = 4
/
ATOMIC_SPECIES
K 39.10 K.upf
Bi 208.98 Bi.upf
Pb 207.20 Pb.upf
S 32.06 S.upf
ATOMIC_POSITIONS crystal
K 0.0000 0.0000 0.0000
K 0.5000 0.0000 0.0000
K 0.5000 0.0000 0.5000
K 0.5000 0.5000 0.5000
Bi 0.0000 0.0000 0.5000
Bi 0.0000 0.5000 0.0000
Pb 0.0000 0.5000 0.5000
Pb 0.5000 0.5000 0.0000
S 0.2147 0.7393 0.4754
S 0.2361 0.2607 0.9754
S 0.2374 0.2608 0.5234
S 0.2374 0.7140 0.9766
S 0.7626 0.2860 0.0234
S 0.7626 0.7392 0.4766
S 0.7639 0.7393 0.0246
S 0.7853 0.2607 0.5246
CELL_PARAMETERS angstrom
-4.2533 4.3069 6.0517
4.2533 -4.3069 6.0517
4.2533 4.3069 -6.0517


! PBE KBiPb2S4, relaxed; values from VASP
! formation energy without anion corrections: -58 kJ per mole of atoms
&SYSTEM
  ibrav = 0, nat = 16, ntyp = 4
/
ATOMIC_SPECIES
K 39.10 K.upf
Bi 208.98 Bi.upf
Pb 207.20 Pb.upf
S 32.06 S.upf
ATOMIC_POSITIONS crystal
K 0.5000 0.0000 0.0000
K 0.5000 0.5000 0.5000
Bi 0.0000 0.0000 0.0000
Bi 0.5000 0.0000 0.5000
Pb 0.0000 0.0000 0.5000
Pb 0.0000 0.5000 0.0000
Pb 0.0000 0.5000 0.5000
Pb 0.5000 0.5000 0.0000
S 0.2312 0.2420 0.9892
S 0.2472 0.7580 0.4892
S 0.2476 0.2352 0.4876
S 0.2476 0.7600 0.0124
S 0.7524 0.2400 0.9876
S 0.7524 0.7648 0.5124
S 0.7528 0.2420 0.5108
S 0.7688 0.7580 0.0108
CELL_PARAMETERS angstrom
-4.2402 4.2666 5.9445
4.2402 -4.2666 5.9445
4.2402 4.2666 -5.9445


! PBE K2Bi2Sb2Pb5, relaxed; values from VASP
! formation energy without anion corrections: 3 kJ per mole of atoms
&SYSTEM
  ibrav = 0, nat = 11, ntyp = 4
/
ATOMIC_SPECIES
K 39.10 K.upf
Bi 208.98 Bi.upf
Sb 121.76 Sb.upf
Pb 207.20 Pb.upf
ATOMIC_POSITIONS crystal
K 0.2119 0.2119 0.0000
K 0.7881 0.7881 0.0000
Bi 0.3139 0.3139 0.0000
Bi 0.6861 0.6861 0.0000
Sb 0.0825 0.0825 0.0000
Sb 0.9175 0.9175 0.0000
Pb 0.0000 0.0000 0.0000
Pb 0.1306 0.6306 0.5000
Pb 0.3694 0.8694 0.5000
Pb 0.6306 0.1306 0.5000
Pb 0.8694 0.3694 0.5000
CELL_PARAMETERS angstrom
-2.6521 2.6521 18.0770
2.6521 -2.6521 18.0770
2.6521 2.6521 -18.0770


! PBE KBiPbSe3, relaxed; values from VASP
! formation energy without anion corrections: -69 kJ per mole of atoms
&SYSTEM
  ibrav = 0, nat = 12, ntyp = 4
/
ATOMIC_SPECIES
K 39.10 K.upf
Bi 208.98 Bi.upf
Pb 207.20 Pb.upf
Se 78.96 Se.upf
ATOMIC_POSITIONS crystal
K 0.0826 0.2500 0.1687
K 0.9174 0.7500 0.8313
Bi 0.4183 0.2500 0.8336
Bi 0.5817 0.7500 0.1664
Pb 0.2535 0.7500 0.5091
Pb 0.7465 0.2500 0.4909
Se 0.1153 0.2500 0.6607
Se 0.2835 0.7500 0.9907
Se 0.4420 0.2500 0.3244
Se 0.5580 0.7500 0.6756
Se 0.7165 0.2500 0.0093
Se 0.8847 0.7500 0.3393
CELL_PARAMETERS angstrom
8.0888 0.0000 0.0000
0.0000 4.3268 0.0000
-0.5634 0.0000 10.6742


! PBE K2BiPbSe4, relaxed; values from VASP
! formation energy without anion corrections: -69 kJ per mole of atoms
&SYSTEM
  ibrav = 0, nat = 16, ntyp = 4
/
ATOMIC_SPECIES
K 39.10 K.upf
Bi 208.98 Bi.upf
Pb 207.20 Pb.upf
Se 78.96 Se.upf
ATOMIC_POSITIONS crystal
K 0.0000 0.0000 0.0000
K 0.5000 0.0000 0.0000
K 0.5000 0.0000 0.5000
K 0.5000 0.5000 0.5000
Bi 0.0000 0.0000 0.5000
Bi 0.0000 0.5000 0.0000
Pb 0.0000 0.5000 0.5000
Pb 0.5000 0.5000 0.0000
Se 0.2168 0.7400 0.4768
Se 0.2368 0.2600 0.9768
Se 0.2379 0.2593 0.5214
Se 0.2379 0.7165 0.9786
Se 0.7621 0.2835 0.0214
Se 0.7621 0.7407 0.4786
Se 0.7632 0.7400 0.0232
Se 0.7832 0.2600 0.5232
CELL_PARAMETERS angstrom
-4.4389 4.4644 6.2976
4.4389 -4.4644 6.2976
4.4389 4.4644 -6.2976


! PBE KSnBi2Pb, relaxed; values from VASP
! formation enthalpy at 0 K: 550.4 meV per atom
&SYSTEM
  ibrav = 0, nat = 5, ntyp = 4
/
ATOMIC_SPECIES
K 39.10 K.upf
Sn 118.71 Sn.upf
Bi 208.98 Bi.upf
Pb 207.20 Pb.upf
ATOMIC_POSITIONS crystal
K 0.0000 0.0000 0.0000
Sn 0.5000 0.5000 0.0000
Bi 0.0000 0.5000 0.5000
Bi 0.5000 0.0000 0.5000
Pb 0.0000 0.0000 0.5000
CELL_PARAMETERS angstrom
5.9912 0.0000 0.0000
0.0000 5.9912 0.0000
0.0000 0.0000 6.0799


! PBE K2SrBi2Pb, relaxed; values from VASP
! formation enthalpy at 0 K: -485.3 meV per atom
&SYSTEM
  ibrav = 0, nat = 12, ntyp = 4
/
ATOMIC_SPECIES
K 39.10 K.upf
Sr 87.62 Sr.upf
Bi 208.98 Bi.upf
Pb 207.20 Pb.upf
ATOMIC_POSITIONS crystal
K 0.0000 0.0822 0.0000
K 0.0000 0.9178 0.5000
K 0.5000 0.1860 0.3148
K 0.5000 0.8140 0.8148
Sr 0.5000 0.4328 0.9122
Sr 0.5000 0.5672 0.4122
Bi 0.0000 0.4150 0.2000
Bi 0.0000 0.5850 0.7000
Bi 0.5000 0.1500 0.7233
Bi 0.5000 0.8500 0.2233
Pb 0.0000 0.3014 0.5802
Pb 0.0000 0.6986 0.0802
CELL_PARAMETERS angstrom
5.0198 0.0000 0.0000
0.0000 10.4047 0.0000
0.0000 0.0000 9.1404


! PBE KBiTe3Pb, relaxed; values from VASP
! formation energy without anion corrections: -46 kJ per mole of atoms
&SYSTEM
  ibrav = 0, nat = 12, ntyp = 4
/
ATOMIC_SPECIES
K 39.10 K.upf
Bi 208.98 Bi.upf
Te 127.60 Te.upf
Pb 207.20 Pb.upf
ATOMIC_POSITIONS crystal
K 0.1669 0.2500 0.1973
K 0.8331 0.7500 0.8027
Bi 0.3613 0.7500 0.8482
Bi 0.6387 0.2500 0.1518
Te 0.1295 0.2500 0.8354
Te 0.3359 0.7500 0.5437
Te 0.4206 0.7500 0.1430
Te 0.5794 0.2500 0.8570
Te 0.6641 0.2500 0.4563
Te 0.8705 0.7500 0.1646
Pb 0.1336 0.2500 0.5527
Pb 0.8664 0.7500 0.4473
CELL_PARAMETERS angstrom
9.9594 0.0000 0.0000
0.0000 4.5312 0.0000
-2.2672 0.0000 10.4986


! PBE KBiTe4Pb2, relaxed; values from VASP
! formation energy without anion corrections: -43 kJ per mole of atoms
&SYSTEM
  ibrav = 0, nat = 16, ntyp = 4
/
ATOMIC_SPECIES
K 39.10 K.upf
Bi 208.98 Bi.upf
Te 127.60 Te.upf
Pb 207.20 Pb.upf
ATOMIC_POSITIONS crystal
K 0.5000 0.0000 0.0000
K 0.5000 0.5000 0.5000
Bi 0.0000 0.0000 0.0000
Bi 0.5000 0.0000 0.5000
Te 0.2326 0.2455 0.9871
Te 0.2415 0.7545 0.4871
Te 0.2451 0.2360 0.4908
Te 0.2451 0.7543 0.0092
Te 0.7549 0.2457 0.9908
Te 0.7549 0.7640 0.5092
Te 0.7585 0.2455 0.5129
Te 0.7674 0.7545 0.0129
Pb 0.0000 0.0000 0.5000
Pb 0.0000 0.5000 0.0000
Pb 0.0000 0.5000 0.5000
Pb 0.5000 0.5000 0.0000
CELL_PARAMETERS angstrom
-4.6464 4.7048 6.5543
4.6464 -4.7048 6.5543
4.6464 4.7048 -6.5543


! PBE KTiBiPb2, relaxed; values from VASP
! formation enthalpy at 0 K: -73.1 meV per atom
&SYSTEM
  ibrav = 0, nat = 5, ntyp = 4
/
ATOMIC_SPECIES
K 39.10 K.upf
Ti 47.87 Ti.upf
Bi 208.98 Bi.upf
Pb 207.20 Pb.upf
ATOMIC_POSITIONS crystal
K 0.0000 0.0000 0.0000
Ti 0.5000 0.5000 0.5000
Bi 0.5000 0.5000 0.0000
Pb 0.0000 0.5000 0.5000
Pb 0.5000 0.0000 0.5000
CELL_PARAMETERS angstrom
5.5282 0.0000 0.0000
0.0000 5.5282 0.0000
0.0000 0.0000 5.4813


! PBE K2Tl6BiPb, relaxed; values from VASP
! formation enthalpy at 0 K: 27.3 meV per atom
&SYSTEM
  ibrav = 0, nat = 20, ntyp = 4
/
ATOMIC_SPECIES
K 39.10 K.upf
Tl 204.38 Tl.upf
Bi 208.98 Bi.upf
Pb 207.20 Pb.upf
ATOMIC_POSITIONS crystal
K 0.0972 0.0972 0.0972
K 0.2801 0.2801 0.2801
K 0.7199 0.7199 0.7199
K 0.9028 0.9028 0.9028
Tl 0.0707 0.6636 0.6636
Tl 0.2284 0.2284 0.6193
Tl 0.2284 0.6192 0.2284
Tl 0.3364 0.3364 0.9293
Tl 0.3364 0.9293 0.3364
Tl 0.3807 0.7716 0.7716
Tl 0.6193 0.2284 0.2284
Tl 0.6636 0.0707 0.6636
Tl 0.6636 0.6636 0.0707
Tl 0.7716 0.3807 0.7716
Tl 0.7716 0.7716 0.3807
Tl 0.9293 0.3364 0.3364
Bi 0.4233 0.4233 0.4233
Bi 0.5767 0.5767 0.5767
Pb 0.0000 0.0000 0.0000
Pb 0.5000 0.5000 0.5000
CELL_PARAMETERS angstrom
4.1042 2.3695 14.1198
-4.1042 2.3695 14.1198
0.0000 -4.7391 14.1198


! PBE KTlBiPb, relaxed; values from VASP
! formation enthalpy at 0 K: -95.8 meV per atom
&SYSTEM
  ibrav = 0, nat = 4, ntyp = 4
/
ATOMIC_SPECIES
K 39.10 K.upf
Tl 204.38 Tl.upf
Bi 208.98 Bi.upf
Pb 207.20 Pb.upf
ATOMIC_POSITIONS crystal
K 0.0000 0.0000 0.0000
Tl 0.7500 0.7500 0.7500
Bi 0.2500 0.2500 0.2500
Pb 0.5000 0.5000 0.5000
CELL_PARAMETERS angstrom
0.0000 4.0730 4.0730
4.0730 0.0000 4.0730
4.0730 4.0730 0.0000


! PBE K2TlBi2Pb, relaxed; values from VASP
! formation enthalpy at 0 K: -241.2 meV per atom
&SYSTEM
  ibrav = 0, nat = 12, ntyp = 4
/
ATOMIC_SPECIES
K 39.10 K.upf
Tl 204.38 Tl.upf
Bi 208.98 Bi.upf
Pb 207.20 Pb.upf
ATOMIC_POSITIONS crystal
K 0.1637 0.2389 0.4027
K 0.3363 0.7389 0.0752
K 0.6637 0.2611 0.9248
K 0.8363 0.7611 0.5973
Tl 0.2500 0.2500 0.0000
Tl 0.7500 0.7500 0.0000
Bi 0.1090 0.7467 0.8557
Bi 0.3910 0.2467 0.6377
Bi 0.6090 0.7533 0.3623
Bi 0.8910 0.2533 0.1443
Pb 0.2500 0.7500 0.5000
Pb 0.7500 0.2500 0.5000
CELL_PARAMETERS angstrom
-3.9070 8.0795 3.8746
3.9070 -8.0795 3.8746
3.9070 8.0795 -3.8746


! PBE KTlBiPb, relaxed; values from VASP
! formation enthalpy at 0 K: -73.7 meV per atom
&SYSTEM
  ibrav = 0, nat = 4, ntyp = 4
/
ATOMIC_SPECIES
K 39.10 K.upf
Tl 204.38 Tl.upf
Bi 208.98 Bi.upf
Pb 207.20 Pb.upf
ATOMIC_POSITIONS crystal
K 0.0000 0.0000 0.0000
Tl 0.4495 0.4495 0.4495
Bi 0.2058 0.2058 0.2058
Pb 0.8049 0.8049 0.8049
CELL_PARAMETERS angstrom
2.7184 1.5694 6.2521
-2.7184 1.5694 6.2521
0.0000 -3.1389 6.2521


! PBE K3Tl2Bi4Pb2, relaxed; values from VASP
! formation enthalpy at 0 K: -163.0 meV per atom
&SYSTEM
  ibrav = 0, nat = 11, ntyp = 4
/
ATOMIC_SPECIES
K 39.10 K.upf
Tl 204.38 Tl.upf
Bi 208.98 Bi.upf
Pb 207.20 Pb.upf
ATOMIC_POSITIONS crystal
K 0.0000 0.0000 0.0000
K 0.0000 0.0000 0.2724
K 0.0000 0.0000 0.7276
Tl 0.3333 0.6667 0.1407
Tl 0.6667 0.3333 0.8593
Bi 0.3333 0.6667 0.3852
Bi 0.3333 0.6667 0.8628
Bi 0.6667 0.3333 0.1372
Bi 0.6667 0.3333 0.6148
Pb 0.3333 0.6667 0.5681
Pb 0.6667 0.3333 0.4319
CELL_PARAMETERS angstrom
5.4363 0.0000 0.0000
-2.7181 4.7079 0.0000
0.0000 0.0000 17.1219


Density values (in g cm⁻³) by entry order: 8.803 10.536 5.199 5.828 7.434 6.520 4.441 4.663 6.105 5.797 6.153 5.390 5.958 5.503 5.875 6.797 7.041 6.936 8.106 6.162 6.844 6.731.